(1)
Density functional theory data (PBE) for a geometry-optimized PuGePdAu structure.

Geometry as POSCAR:
```
PuGePdAu
1.0
4.801 0.000 0.000
2.401 4.158 0.000
2.401 1.386 3.920
Pu Pd Au Ge
1 1 1 1
direct
0.000 0.000 0.000
0.750 0.750 0.750
0.500 0.500 0.500
0.250 0.250 0.250
```

***

(2)
Density functional theory data (PBE) for a geometry-optimized ZrAl2Se structure.

Its formation energy (no corrections) is -0.3801 eV per atom.

Geometry as POSCAR:
```
ZrAl2Se
1.0
5.576 -0.006 0.004
2.691 4.884 -0.004
-3.697 -3.179 2.706
Se Zr Al
1 1 2
direct
0.750 0.250 0.500
0.250 0.750 0.500
0.986 0.986 0.000
0.514 0.514 0.000
```

***

(3)
Density functional theory data (PBE) for a geometry-optimized SrIn2Fe structure.

Geometry as POSCAR:
```
SrIn2Fe
1.0
-2.018 3.926 1.892
0.505 -1.768 4.207
4.135 1.966 0.330
In Sr Fe
2 1 1
direct
0.000 0.500 0.500
0.000 0.000 0.000
0.500 0.500 0.000
0.500 0.000 0.500
```

***

(4)
Density functional theory data (PBE) for a geometry-optimized Ca5MgAu6 structure.

Geometry as POSCAR:
```
Ca5MgAu6
1.0
5.021 -0.309 0.790
-0.020 6.678 2.739
1.138 0.362 8.639
Ca Au Mg
5 6 1
direct
0.000 0.500 0.000
0.673 0.170 0.661
0.335 0.335 0.330
0.665 0.665 0.670
0.327 0.830 0.339
0.164 0.397 0.681
0.500 0.232 0.000
0.164 0.922 0.681
0.836 0.603 0.319
0.500 0.768 0.000
0.836 0.078 0.319
0.000 0.000 0.000
```

***

(5)
Density functional theory data (PBE) for a geometry-optimized V3CoGe2 structure.

Geometry as POSCAR:
```
V3CoGe2
1.0
5.048 0.000 0.000
0.000 5.085 0.000
-2.524 -2.542 6.407
V Co Ge
6 2 4
direct
0.500 0.250 0.000
0.545 0.333 0.665
0.455 0.667 0.335
0.879 0.167 0.335
0.121 0.833 0.665
0.500 0.750 0.000
0.000 0.250 0.000
0.000 0.750 0.000
0.648 0.863 0.727
0.921 0.637 0.273
0.352 0.137 0.273
0.079 0.363 0.727
```

***

(6)
Density functional theory data (PBE) for a geometry-optimized Er3CdAu4 structure.

Geometry as POSCAR:
```
Er3CdAu4
1.0
4.976 0.000 0.000
0.000 7.077 0.000
0.000 0.000 9.953
Er Au Cd
6 8 2
direct
0.500 0.000 0.250
0.500 0.000 0.750
0.500 0.500 0.750
0.000 0.000 0.000
0.500 0.500 0.250
0.000 0.000 0.500
0.500 0.756 0.500
0.000 0.244 0.750
0.000 0.756 0.750
0.000 0.756 0.250
0.500 0.756 0.000
0.000 0.244 0.250
0.500 0.244 0.000
0.500 0.244 0.500
0.000 0.500 0.000
0.000 0.500 0.500
```

***

(7)
Density functional theory data (PBE) for a geometry-optimized Li2AgMo structure.

Its energy above the most stable polymorph in this dataset is 421 meV/atom.

Geometry as POSCAR:
```
Li2AgMo
1.0
-2.018 -2.689 3.762
3.049 -3.644 1.697
0.570 4.934 -0.884
Mo Li Ag
1 2 1
direct
0.500 0.500 0.000
0.250 0.750 0.500
0.000 0.000 0.000
0.750 0.250 0.500
```

***

(8)
Density functional theory data (PBE) for a geometry-optimized Pr2Er3Tm7 structure.

Its energy above the most stable polymorph in this dataset is 0 meV/atom.

Geometry as POSCAR:
```
Pr2Er3Tm7
1.0
-0.729 0.259 -3.404
-6.074 -1.054 1.221
-6.814 16.161 2.690
Tm Er Pr
7 3 2
direct
0.500 0.243 0.501
0.500 0.062 0.166
0.000 0.562 0.162
0.000 0.000 0.000
0.000 0.438 0.838
0.500 0.938 0.834
0.500 0.757 0.499
0.500 0.500 0.000
0.000 0.108 0.343
0.000 0.892 0.657
0.500 0.613 0.326
0.500 0.387 0.674
```

***

(9)
Density functional theory data (PBE) for a geometry-optimized Ta5Nb5Ir2 structure.

Geometry as POSCAR:
```
Ta5Nb5Ir2
1.0
-0.096 -4.397 1.423
0.582 -4.336 -5.851
6.683 -2.851 -0.850
Ir Ta Nb
2 5 5
direct
0.835 0.500 0.829
0.165 0.500 0.171
0.414 0.252 0.920
0.586 0.748 0.080
0.666 0.004 0.664
0.500 0.500 0.500
0.334 0.996 0.336
0.083 0.248 0.586
0.917 0.752 0.414
0.250 0.744 0.756
0.000 0.000 0.000
0.750 0.256 0.244
```

***

(10)
Density functional theory data (PBE) for a geometry-optimized CdAgRu structure.

Its energy above the most stable polymorph in this dataset is 304 meV/atom.

Geometry as POSCAR:
```
CdAgRu
1.0
6.653 0.016 0.000
5.410 3.872 0.000
-6.031 -1.944 2.026
Ag Cd Ru
1 1 1
direct
0.006 0.006 0.000
0.328 0.328 0.000
0.666 0.666 0.000
```

***

(11)
Density functional theory data (PBE) for a geometry-optimized La3AgBr structure.

Its formation energy (no corrections) is -0.1947 eV per atom. Its energy above the most stable polymorph in this dataset is 0 meV/atom.

Geometry as POSCAR:
```
La3AgBr
1.0
-1.132 5.480 -0.661
-3.958 -0.336 3.995
3.846 1.267 3.917
La Ag Br
3 1 1
direct
0.000 0.000 0.500
0.000 0.500 0.000
0.500 0.000 0.000
0.500 0.500 0.500
0.000 0.000 0.000
```

***

(12)
Density functional theory data (PBE) for a geometry-optimized Ac3PtRh3 structure.

Geometry as POSCAR:
```
Ac3PtRh3
1.0
-1.991 -2.938 -2.605
0.346 -2.932 3.043
-7.671 5.578 3.293
Ac Pt Rh
3 1 3
direct
0.315 0.815 0.629
0.001 0.001 0.002
0.684 0.184 0.368
0.434 0.434 0.869
0.570 0.570 0.141
0.850 0.350 0.700
0.146 0.646 0.291
```

***

| no. | total moment (μB/cell) | calculated total energy (eV per atom) |
| --- | --- | --- |
| 1 | 5.281 | -7.151 |
| 2 | 0.000 | -5.260 |
| 3 | 2.743 | -3.663 |
| 4 | 0.000 | -3.348 |
| 5 | 0.000 | -7.501 |
| 6 | 0.000 | -4.218 |
| 7 | 2.981 | -3.782 |
| 8 | 0.000 | -4.458 |
| 9 | 0.000 | -10.863 |
| 10 | 1.328 | -3.976 |
| 11 | 0.000 | -4.056 |
| 12 | 0.000 | -6.506 |